Entry 1:
Computed, not measured: a relaxed Be2CdAg2 crystal at the PBE level of DFT. Values from VASP.

Quantum ESPRESSO input file:
```
&SYSTEM
  ibrav = 0, nat = 10, ntyp = 3
/
ATOMIC_SPECIES
Be 9.01 Be.upf
Cd 112.41 Cd.upf
Ag 107.87 Ag.upf
CELL_PARAMETERS angstrom
3.053 0.000 0.000
0.000 3.053 0.000
0.000 0.000 16.294
ATOMIC_POSITIONS crystal
Be 0.000 0.500 0.250
Be 0.000 0.500 0.750
Be 0.500 0.000 0.250
Be 0.500 0.000 0.750
Cd 0.000 0.000 0.000
Cd 0.500 0.500 0.500
Ag 0.000 0.000 0.370
Ag 0.000 0.000 0.630
Ag 0.500 0.500 0.130
Ag 0.500 0.500 0.870
```

## Properties
energy of formation: 0.193 eV per atom
space-group type: I4/mmm, No. 139
energy above the lowest structure with this stoichiometry: 57 meV per atom
spin magnetization: 0.00 μB per formula unit

Entry 2:
Computed, not measured: a relaxed BeCdAg crystal at the PBE level of DFT. Values from VASP.

Quantum ESPRESSO input file:
```
&SYSTEM
  ibrav = 0, nat = 3, ntyp = 3
/
ATOMIC_SPECIES
Be 9.01 Be.upf
Cd 112.41 Cd.upf
Ag 107.87 Ag.upf
CELL_PARAMETERS angstrom
4.360 0.000 0.000
-2.180 3.776 0.000
0.000 0.000 2.909
ATOMIC_POSITIONS crystal
Be 0.000 0.000 0.000
Cd 0.333 0.667 0.487
Ag 0.667 0.333 0.985
```

## Properties
energy of formation: 0.270 eV per atom
space-group type: P3m1, No. 156
energy above the lowest structure with this stoichiometry: 94 meV per atom
spin magnetization: 0.00 μB per formula unit

Entry 3:
Computed, not measured: a relaxed BeCdAg2 crystal at the PBE level of DFT. Values from VASP.

Quantum ESPRESSO input file:
```
&SYSTEM
  ibrav = 0, nat = 8, ntyp = 3
/
ATOMIC_SPECIES
Be 9.01 Be.upf
Cd 112.41 Cd.upf
Ag 107.87 Ag.upf
CELL_PARAMETERS angstrom
6.148 0.000 0.000
0.000 6.533 0.000
0.000 0.000 3.298
ATOMIC_POSITIONS crystal
Be 0.000 0.000 0.000
Be 0.500 0.500 0.000
Cd 0.000 0.500 0.000
Cd 0.500 0.000 0.000
Ag 0.250 0.250 0.500
Ag 0.250 0.750 0.500
Ag 0.750 0.250 0.500
Ag 0.750 0.750 0.500
```

## Properties
energy of formation: 0.224 eV per atom
space-group type: Cmmm, No. 65
energy above the lowest structure with this stoichiometry: 147 meV per atom
spin magnetization: 0.00 μB per formula unit

Entry 4:
Computed, not measured: a relaxed BeCdAg2 crystal at the PBE level of DFT. Values from VASP.

Quantum ESPRESSO input file:
```
&SYSTEM
  ibrav = 0, nat = 4, ntyp = 3
/
ATOMIC_SPECIES
Be 9.01 Be.upf
Cd 112.41 Cd.upf
Ag 107.87 Ag.upf
CELL_PARAMETERS angstrom
3.092 0.000 0.000
0.000 3.092 0.000
0.000 0.000 6.801
ATOMIC_POSITIONS crystal
Be 0.000 0.000 0.000
Cd 0.500 0.500 0.252
Ag 0.000 0.000 0.544
Ag 0.500 0.500 0.828
```

## Properties
energy of formation: 0.135 eV per atom
space-group type: P4mm, No. 99
energy above the lowest structure with this stoichiometry: 58 meV per atom
spin magnetization: 0.00 μB per formula unit

Entry 5:
Computed, not measured: a relaxed Be2Cd2Ag crystal at the PBE level of DFT. Values from VASP.

Quantum ESPRESSO input file:
```
&SYSTEM
  ibrav = 0, nat = 10, ntyp = 3
/
ATOMIC_SPECIES
Be 9.01 Be.upf
Cd 112.41 Cd.upf
Ag 107.87 Ag.upf
CELL_PARAMETERS angstrom
6.533 0.000 0.000
0.000 6.533 0.000
0.000 0.000 3.663
ATOMIC_POSITIONS crystal
Be 0.124 0.376 0.000
Be 0.376 0.876 0.000
Be 0.624 0.124 0.000
Be 0.876 0.624 0.000
Cd 0.170 0.670 0.500
Cd 0.330 0.170 0.500
Cd 0.670 0.830 0.500
Cd 0.830 0.330 0.500
Ag 0.000 0.000 0.000
Ag 0.500 0.500 0.000
```

## Properties
energy of formation: 0.328 eV per atom
space-group type: P4/mbm, No. 127
energy above the lowest structure with this stoichiometry: 0 meV per atom
spin magnetization: 0.00 μB per formula unit

Entry 6:
Computed, not measured: a relaxed Be3CdAg crystal at the PBE level of DFT. Values from VASP.

Quantum ESPRESSO input file:
```
&SYSTEM
  ibrav = 0, nat = 5, ntyp = 3
/
ATOMIC_SPECIES
Be 9.01 Be.upf
Cd 112.41 Cd.upf
Ag 107.87 Ag.upf
CELL_PARAMETERS angstrom
4.426 0.000 0.000
0.000 4.426 0.000
0.000 0.000 4.426
ATOMIC_POSITIONS crystal
Be 0.000 0.000 0.500
Be 0.000 0.500 0.000
Be 0.500 0.000 0.000
Cd 0.000 0.000 0.000
Ag 0.500 0.500 0.500
```

## Properties
energy of formation: 1.094 eV per atom
space-group type: Pm-3m, No. 221
energy above the lowest structure with this stoichiometry: 287 meV per atom
spin magnetization: 0.00 μB per formula unit

Entry 7:
Computed, not measured: a relaxed BeCdAg2 crystal at the PBE level of DFT. Values from VASP.

Quantum ESPRESSO input file:
```
&SYSTEM
  ibrav = 0, nat = 4, ntyp = 3
/
ATOMIC_SPECIES
Be 9.01 Be.upf
Cd 112.41 Cd.upf
Ag 107.87 Ag.upf
CELL_PARAMETERS angstrom
3.021 0.000 0.000
0.000 3.021 0.000
0.000 0.000 7.023
ATOMIC_POSITIONS crystal
Be 0.000 0.000 0.000
Cd 0.000 0.000 0.500
Ag 0.500 0.500 0.201
Ag 0.500 0.500 0.799
```

## Properties
energy of formation: 0.077 eV per atom
space-group type: P4/mmm, No. 123
energy above the lowest structure with this stoichiometry: 0 meV per atom
spin magnetization: 0.00 μB per formula unit